{"formula": "MgHgBr", "functional": "PBE", "state": "optimized geometry", "e_above_lowest_polymorph_ev_per_atom": 0.146, "dft_energy_ev_per_atom": -1.68, "magnetic_moment_mub_per_fu": 0.00, "space_group": "I4mm (107)", "lattice": [[-1.750, 1.750, 6.504], [1.750, -1.750, 6.504], [1.750, 1.750, -6.504]], "species": ["Mg", "Hg", "Br"], "fractional_positions": [[0.000, 0.000, 0.000], [0.636, 0.636, 0.000], [0.379, 0.379, 0.000]]}